(1)
A plane-wave DFT calculation with PBE-GGA was carried out for TlBiI6 after structural relaxation.

abc: 8.1932 8.1932 8.1932
angles: 55.61 55.61 55.61
Sites, in units of the cell vectors:
Tl 0.0000 0.0000 0.0000
Bi 0.5000 0.5000 0.5000
I 0.0740 0.4217 0.7542
I 0.2458 0.9260 0.5783
I 0.4217 0.7542 0.0740
I 0.5783 0.2458 0.9260
I 0.7542 0.0740 0.4217
I 0.9260 0.5783 0.2458

Properties
The final energy comes out at -17.65 eV per cell. The space group is No. 148.

***

(2)
A plane-wave DFT calculation with PBE-GGA was carried out for TlBiI5 after structural relaxation.

abc: 8.7924 8.7924 11.6909
angles: 110.35 110.35 92.72
Sites, in units of the cell vectors:
Tl 0.1206 0.8794 0.7500
Tl 0.8794 0.1206 0.2500
Bi 0.0000 0.5000 0.0000
Bi 0.5000 0.0000 0.5000
I 0.1693 0.5763 0.8281
I 0.1784 0.2032 0.9871
I 0.2032 0.1784 0.4871
I 0.3283 0.6717 0.2500
I 0.4237 0.8307 0.6719
I 0.5763 0.1693 0.3281
I 0.6717 0.3283 0.7500
I 0.7968 0.8216 0.5129
I 0.8216 0.7968 0.0129
I 0.8307 0.4237 0.1719

Properties
The final energy comes out at -32.76 eV per cell. As for the density of states at the Fermi level: 8.9 states/eV per cell. The space group is No. 15.

***

(3)
A plane-wave DFT calculation with PBE-GGA was carried out for Tl4BiI after structural relaxation.

abc: 9.2773 9.2773 7.4449
angles: 107.24 107.24 113.22
Sites, in units of the cell vectors:
Tl 0.0070 0.5259 0.7506
Tl 0.1846 0.2257 0.2273
Tl 0.2257 0.1846 0.7273
Tl 0.4741 0.9930 0.7494
Tl 0.5259 0.0070 0.2506
Tl 0.7743 0.8154 0.2727
Tl 0.8154 0.7743 0.7727
Tl 0.9930 0.4741 0.2494
Bi 0.1416 0.8584 0.2500
Bi 0.8584 0.1416 0.7500
I 0.4030 0.5970 0.7500
I 0.5970 0.4030 0.2500

Properties
The final energy comes out at -31.25 eV per cell. As for the density of states at the Fermi level: 3.5 states/eV per cell. The space group is No. 15.

***

(4)
A plane-wave DFT calculation with PBE-GGA was carried out for Tl4BiI7 after structural relaxation.

abc: 11.8215 11.8215 8.4754
angles: 106.08 106.08 29.34
Sites, in units of the cell vectors:
Tl 0.0822 0.0822 0.1477
Tl 0.1881 0.1881 0.7691
Tl 0.8119 0.8119 0.2309
Tl 0.9178 0.9178 0.8523
Bi 0.5000 0.5000 0.5000
I 0.0000 0.0000 0.5000
I 0.2261 0.2261 0.1786
I 0.3824 0.3824 0.6126
I 0.4196 0.4196 0.1364
I 0.5804 0.5804 0.8636
I 0.6176 0.6176 0.3874
I 0.7739 0.7739 0.8214

Properties
The final energy comes out at -30.66 eV per cell. The space group is No. 12.

***

(5)
A plane-wave DFT calculation with PBE-GGA was carried out for TlBi3I after structural relaxation.

abc: 5.9140 5.9140 5.9140
angles: 90.00 90.00 90.00
Sites, in units of the cell vectors:
Tl 0.0000 0.0000 0.0000
Bi 0.0000 0.0000 0.5000
Bi 0.0000 0.5000 0.0000
Bi 0.5000 0.0000 0.0000
I 0.5000 0.5000 0.5000

Properties
The final energy comes out at -12.11 eV per cell. As for the density of states at the Fermi level: 8.4 states/eV per cell. The space group is No. 221.

***

(6)
A plane-wave DFT calculation with PBE-GGA was carried out for TlBiI after structural relaxation.

abc: 5.7026 6.9402 7.0289
angles: 99.40 90.12 90.17
Sites, in units of the cell vectors:
Tl 0.0007 0.2308 0.2177
Tl 0.9993 0.7692 0.7823
Bi 0.4999 0.0025 0.2039
Bi 0.5001 0.9975 0.7961
I 0.0003 0.2877 0.7192
I 0.9997 0.7123 0.2808

Properties
The final energy comes out at -16.48 eV per cell. As for the density of states at the Fermi level: 1.2 states/eV per cell. The space group is No. 2.

***

(7)
A plane-wave DFT calculation with PBE-GGA was carried out for Tl2BiI5 after structural relaxation.

abc: 8.7783 8.7783 8.7783
angles: 120.88 120.88 88.48
Sites, in units of the cell vectors:
Tl 0.0000 0.5000 0.5000
Tl 0.5000 0.0000 0.5000
Bi 0.3338 0.3338 0.0000
I 0.1057 0.1057 0.0000
I 0.1196 0.1196 0.5001
I 0.1196 0.6195 0.0000
I 0.6195 0.1196 0.0000
I 0.6195 0.6195 0.4999

Properties
The final energy comes out at -20.41 eV per cell. As for the density of states at the Fermi level: 0.0 states/eV per cell. The space group is No. 107.

***

(8)
A plane-wave DFT calculation with PBE-GGA was carried out for Tl6Bi3I14 after structural relaxation.

abc: 12.2560 12.2560 8.3036
angles: 90.00 90.00 120.00
Sites, in units of the cell vectors:
Tl 0.0425 0.5586 0.0000
Tl 0.3103 0.1151 0.4359
Tl 0.4414 0.4839 0.0000
Tl 0.5161 0.9575 0.0000
Tl 0.8048 0.6897 0.4359
Tl 0.8849 0.1952 0.4359
Bi 0.0000 0.0000 0.8802
Bi 0.3333 0.6667 0.4534
Bi 0.6667 0.3333 0.8093
I 0.0000 0.0000 0.2557
I 0.1093 0.8633 0.7181
I 0.1367 0.2460 0.7181
I 0.1770 0.4187 0.2502
I 0.2417 0.8230 0.2502
I 0.3333 0.6667 0.8168
I 0.4251 0.1895 0.0272
I 0.5292 0.4371 0.5971
I 0.5629 0.0921 0.5971
I 0.5813 0.7583 0.2502
I 0.7540 0.8907 0.7181
I 0.7645 0.5749 0.0272
I 0.8105 0.2355 0.0272
I 0.9079 0.4708 0.5971

Properties
The final energy comes out at -58.63 eV per cell. As for the density of states at the Fermi level: 6.1 states/eV per cell. The space group is No. 143.

***

M_tot for every record listed, in sequence, given in μB/atom: 0.00; 0.00; 0.00; 0.00; 0.00; 0.00; 0.00; 0.05.
Energy relative to the elements, uncorrected for every record listed, in sequence, given in eV/atom: -0.2624; -0.3401; -0.1211; -0.5384; 0.6901; -0.1476; -0.5062; -0.4819.